Entry 1:
TlH2S5: relaxed, PBE-GGA.

Computed properties:
**VASP energy**: -29.144 eV/f.u.
**Magnetization**: 0.000 μB per formula unit

a = 4.2920 Å, b = 17.0344 Å, c = 5.0971 Å
α = 90.00°, β = 100.22°, γ = 90.00°
Fractional coordinates of all 16 atoms:
Tl: 0.2330 0.2500 0.1047
Tl: 0.7670 0.7500 0.8953
H: 0.2379 0.6145 0.9979
H: 0.2379 0.8855 0.9979
H: 0.7621 0.1145 0.0021
H: 0.7621 0.3855 0.0021
S: 0.1286 0.5602 0.8022
S: 0.1286 0.9398 0.8022
S: 0.2324 0.1248 0.4081
S: 0.2324 0.3752 0.4081
S: 0.3288 0.7500 0.1740
S: 0.6712 0.2500 0.8260
S: 0.7676 0.6248 0.5919
S: 0.7676 0.8752 0.5919
S: 0.8714 0.0602 0.1978
S: 0.8714 0.4398 0.1978

Entry 2:
Tm2Zr2Os3: relaxed, PBE-GGA.

Computed properties:
**Formation energy from the elements**: -0.32 eV per atom
**Magnetization**: 0.000 μB per formula unit

a = 4.6269 Å, b = 4.6269 Å, c = 8.2446 Å
α = 106.38°, β = 106.38°, γ = 60.07°
Fractional coordinates of all 7 atoms:
Tm: 0.1263 0.1263 0.3780
Tm: 0.8737 0.8737 0.6220
Zr: 0.3759 0.3759 0.1274
Zr: 0.6241 0.6241 0.8726
Os: 0.0000 0.0000 0.0000
Os: 0.2560 0.2560 0.7691
Os: 0.7440 0.7440 0.2309

Entry 3:
AgIrSe: relaxed, PBE-GGA.

Computed properties:
**Offset from the most stable computed form**: 0.26 eV per formula unit
**Magnetization**: 0.000 μB per formula unit

a = 3.9683 Å, b = 5.5752 Å, c = 5.5752 Å
α = 114.15°, β = 90.00°, γ = 90.00°
Fractional coordinates of all 6 atoms:
Ag: 0.2500 0.1044 0.8956
Ag: 0.7500 0.8956 0.1044
Ir: 0.2500 0.2312 0.4465
Ir: 0.7500 0.4465 0.2312
Se: 0.2500 0.7334 0.4002
Se: 0.7500 0.4002 0.7334

Entry 4:
NaTe2Pd4: relaxed, PBE-GGA.

Computed properties:
**VASP energy**: -31.241 eV/f.u.
**Magnetization**: 0.000 μB per formula unit

a = 8.0886 Å, b = 8.0886 Å, c = 4.3165 Å
α = 90.00°, β = 90.00°, γ = 90.00°
Fractional coordinates of all 14 atoms:
Na: 0.0000 0.0000 0.0000
Na: 0.5000 0.5000 0.5000
Te: 0.2202 0.2202 0.5000
Te: 0.2798 0.7202 0.0000
Te: 0.7202 0.2798 0.0000
Te: 0.7798 0.7798 0.5000
Pd: 0.0961 0.6459 0.5000
Pd: 0.1459 0.4039 0.0000
Pd: 0.3541 0.9039 0.5000
Pd: 0.4039 0.1459 0.0000
Pd: 0.5961 0.8541 0.0000
Pd: 0.6459 0.0961 0.5000
Pd: 0.8541 0.5961 0.0000
Pd: 0.9039 0.3541 0.5000

Entry 5:
Pm2BeGaIr2: relaxed, PBE-GGA.

Computed properties:
**Formation energy from the elements**: -0.62 eV per atom
**Magnetization**: 0.000 μB per formula unit

a = 8.0461 Å, b = 8.0461 Å, c = 8.0461 Å
α = 137.40°, β = 61.68°, γ = 137.58°
Fractional coordinates of all 12 atoms:
Pm: 0.1682 0.2423 0.4105
Pm: 0.3318 0.7423 0.0741
Pm: 0.6682 0.2577 0.9259
Pm: 0.8318 0.7577 0.5895
Be: 0.2500 0.7500 0.5000
Be: 0.7500 0.2500 0.5000
Ga: 0.2500 0.2500 0.0000
Ga: 0.7500 0.7500 0.0000
Ir: 0.1026 0.7206 0.8232
Ir: 0.3974 0.2206 0.6179
Ir: 0.6026 0.7794 0.3821
Ir: 0.8974 0.2794 0.1768

Entry 6:
Zr3GaSi: relaxed, PBE-GGA.

Computed properties:
**Offset from the most stable computed form**: 0.00 eV per formula unit
**Magnetization**: 0.000 μB per formula unit

a = 4.9144 Å, b = 4.9144 Å, c = 4.9144 Å
α = 90.00°, β = 90.00°, γ = 90.00°
Fractional coordinates of all 5 atoms:
Zr: 0.0000 0.0000 0.5000
Zr: 0.0000 0.5000 0.0000
Zr: 0.5000 0.0000 0.0000
Ga: 0.5000 0.5000 0.5000
Si: 0.0000 0.0000 0.0000

Entry 7:
Cs2SrHBr6: relaxed, PBE-GGA.

Computed properties:
**VASP energy**: -28.032 eV/f.u.
**Magnetization**: 0.001 μB per formula unit

a = 8.6650 Å, b = 8.6650 Å, c = 8.6650 Å
α = 128.99°, β = 128.99°, γ = 75.03°
Fractional coordinates of all 10 atoms:
Cs: 0.2500 0.7500 0.5000
Cs: 0.7500 0.2500 0.5000
Sr: 0.0000 0.0000 0.0000
H: 0.5000 0.5000 0.0000
Br: 0.2175 0.2175 0.0000
Br: 0.2897 0.2897 0.5793
Br: 0.2897 0.7103 0.0000
Br: 0.7103 0.2897 0.0000
Br: 0.7103 0.7103 0.4207
Br: 0.7825 0.7825 0.0000

Entry 8:
SiMoBr: relaxed, PBE-GGA.

Computed properties:
**Offset from the most stable computed form**: 1.72 eV per formula unit
**Magnetization**: 0.000 μB per formula unit

a = 3.2991 Å, b = 3.2991 Å, c = 5.9392 Å
α = 90.00°, β = 90.00°, γ = 120.00°
Fractional coordinates of all 3 atoms:
Si: 0.0000 0.0000 0.0000
Mo: 0.3333 0.6667 0.7382
Br: 0.6667 0.3333 0.4101

Which of these has the highest magnetization? Cs2SrHBr6